(1)
Here is a relaxed SrMg4Au5 crystal from Alexandria via LeMat-Bulk. Energies are from PBE-GGA.

```
10
Lattice="3.436 0.000 0.000 0.000 3.436 0.000 0.000 0.000 16.831" Properties=species:S:1:pos:R:3 pbc="T T T"
Sr 0.000 0.000 0.000
Mg 0.000 0.000 3.713
Mg 0.000 0.000 6.856
Mg 0.000 0.000 9.975
Mg 0.000 0.000 13.118
Au 1.718 1.718 2.231
Au 1.718 1.718 5.301
Au 1.718 1.718 8.415
Au 1.718 1.718 11.530
Au 1.718 1.718 14.600
```

Values from the calculation:
The total DFT energy (no corrections) comes out at -3.05 eV per atom. Its space group is P4/mmm, No. 123.

(2)
Here is a relaxed Sr2MgAu crystal from Alexandria via LeMat-Bulk. Energies are from PBE-GGA.

```
4
Lattice="3.839 -2.221 0.000 3.839 2.221 0.000 -2.575 0.000 8.902" Properties=species:S:1:pos:R:3 pbc="T T T"
Sr 1.276 0.000 1.821
Sr 3.827 0.000 7.081
Mg -1.288 0.000 4.451
Au 3.839 0.000 0.000
```

Values from the calculation:
The total DFT energy (no corrections) comes out at -2.36 eV per atom. Its space group is C2/m, No. 12.

(3)
Here is a relaxed Sr2MgAu7 crystal from Alexandria via LeMat-Bulk. Energies are from PBE-GGA.

```
10
Lattice="4.231 0.000 0.000 0.000 4.231 0.000 0.000 0.000 13.018" Properties=species:S:1:pos:R:3 pbc="T T T"
Sr 0.000 2.115 3.104
Sr 2.115 0.000 9.914
Mg 0.000 0.000 6.509
Au 0.000 0.000 0.000
Au 0.000 2.115 8.393
Au 0.000 2.115 11.109
Au 2.115 0.000 1.909
Au 2.115 0.000 4.625
Au 2.115 2.115 0.000
Au 2.115 2.115 6.509
```

Values from the calculation:
The total DFT energy (no corrections) comes out at -3.33 eV per atom. Its space group is P-4m2, No. 115.

(4)
Here is a relaxed SrMg2Au crystal from Alexandria via LeMat-Bulk. Energies are from PBE-GGA.

```
4
Lattice="-1.822 2.726 5.391 1.822 -2.726 5.391 1.822 2.726 -5.391" Properties=species:S:1:pos:R:3 pbc="T T T"
Sr 0.000 0.000 0.000
Mg 1.822 0.000 3.215
Mg 0.000 2.726 2.176
Au 0.000 0.000 5.391
```

Values from the calculation:
The total DFT energy (no corrections) comes out at -2.36 eV per atom. Its space group is Immm, No. 71.

(5)
Here is a relaxed SrMg2Au crystal from Alexandria via LeMat-Bulk. Energies are from PBE-GGA.

```
4
Lattice="3.530 0.000 0.000 0.000 3.530 0.000 0.000 0.000 8.332" Properties=species:S:1:pos:R:3 pbc="T T T"
Sr 0.000 0.000 0.000
Mg 1.765 1.765 2.679
Mg 1.765 1.765 5.653
Au 0.000 0.000 4.166
```

Values from the calculation:
The total DFT energy (no corrections) comes out at -2.33 eV per atom. Its space group is P4/mmm, No. 123.

(6)
Here is a relaxed Sr2MgAu crystal from Alexandria via LeMat-Bulk. Energies are from PBE-GGA.

```
4
Lattice="5.623 0.000 0.000 0.000 5.623 0.000 0.000 0.000 4.005" Properties=species:S:1:pos:R:3 pbc="T T T"
Sr 0.000 2.812 0.000
Sr 2.812 0.000 0.000
Mg 0.000 0.000 2.003
Au 2.812 2.812 2.003
```

Values from the calculation:
The total DFT energy (no corrections) comes out at -2.40 eV per atom. Its space group is P4/mmm, No. 123.

(7)
Here is a relaxed Sr2MgAu crystal from Alexandria via LeMat-Bulk. Energies are from PBE-GGA.

```
4
Lattice="4.725 0.000 0.000 0.000 4.662 0.000 -2.353 0.000 6.162" Properties=species:S:1:pos:R:3 pbc="T T T"
Sr 0.000 0.000 0.000
Sr 0.004 2.331 3.581
Mg 2.365 2.331 1.099
Au 2.369 0.000 2.613
```

Values from the calculation:
The total DFT energy (no corrections) comes out at -2.48 eV per atom. Its space group is Pm, No. 6.

(8)
Here is a relaxed Sr3Mg2Au4 crystal from Alexandria via LeMat-Bulk. Energies are from PBE-GGA.

```
9
Lattice="6.221 -2.272 0.000 6.221 2.272 0.000 -3.759 0.000 8.586" Properties=species:S:1:pos:R:3 pbc="T T T"
Sr 0.000 0.000 0.000
Sr 3.546 0.000 2.543
Sr 5.137 0.000 6.043
Mg 1.547 0.000 5.582
Mg 7.137 0.000 3.004
Au -0.513 0.000 3.622
Au 0.097 0.000 7.943
Au 8.586 0.000 0.643
Au 9.196 0.000 4.964
```

Values from the calculation:
The total DFT energy (no corrections) comes out at -3.05 eV per atom. Its space group is C2/m, No. 12.

(9)
Here is a relaxed SrMg2Au crystal from Alexandria via LeMat-Bulk. Energies are from PBE-GGA.

```
4
Lattice="2.346 1.355 5.851 -2.346 1.355 5.851 0.000 -2.709 5.851" Properties=species:S:1:pos:R:3 pbc="T T T"
Sr 0.000 0.000 0.000
Mg 0.000 0.000 3.565
Mg 0.000 0.000 13.987
Au 0.000 0.000 8.776
```

Values from the calculation:
The total DFT energy (no corrections) comes out at -2.38 eV per atom. Its space group is R-3m, No. 166.

(10)
Here is a relaxed Sr2MgAu crystal from Alexandria via LeMat-Bulk. Energies are from PBE-GGA.

```
4
Lattice="6.744 -1.893 0.000 6.744 1.893 0.000 -2.313 0.000 5.091" Properties=species:S:1:pos:R:3 pbc="T T T"
Sr 0.000 0.000 0.000
Sr 1.057 0.000 3.552
Mg 10.168 0.000 1.553
Au 5.334 0.000 2.432
```

Values from the calculation:
The total DFT energy (no corrections) comes out at -2.42 eV per atom. Its space group is Cm, No. 8.

(11)
Here is a relaxed Sr2MgAu2 crystal from Alexandria via LeMat-Bulk. Energies are from PBE-GGA.

```
10
Lattice="6.344 -2.253 0.000 6.344 2.253 0.000 -5.741 0.000 10.033" Properties=species:S:1:pos:R:3 pbc="T T T"
Sr -0.844 0.000 1.759
Sr -1.206 0.000 6.084
Sr 8.152 0.000 3.949
Sr 7.791 0.000 8.274
Mg 2.855 0.000 1.235
Mg 4.092 0.000 8.798
Au -0.755 0.000 9.380
Au 2.649 0.000 6.272
Au 4.297 0.000 3.760
Au 7.701 0.000 0.652
```

Values from the calculation:
The total DFT energy (no corrections) comes out at -2.96 eV per atom. Its space group is C2/m, No. 12.

(12)
Here is a relaxed SrMg2Au3 crystal from Alexandria via LeMat-Bulk. Energies are from PBE-GGA.

```
12
Lattice="5.707 -4.156 0.000 5.707 4.156 0.000 0.000 0.000 5.919" Properties=species:S:1:pos:R:3 pbc="T T T"
Sr 5.707 2.744 4.439
Sr 5.707 -2.744 1.480
Mg 3.382 0.000 0.000
Mg 3.382 0.000 2.960
Mg 8.033 0.000 0.000
Mg 8.033 0.000 2.960
Au 3.861 2.533 1.480
Au 7.554 2.533 1.480
Au 5.707 0.450 1.480
Au 5.707 -0.450 4.439
Au 3.861 -2.533 4.439
Au 7.554 -2.533 4.439
```

Values from the calculation:
The total DFT energy (no corrections) comes out at -3.06 eV per atom. Its space group is Cmcm, No. 63.

(13)
Here is a relaxed SrMg4Au crystal from Alexandria via LeMat-Bulk. Energies are from PBE-GGA.

```
6
Lattice="0.000 4.218 4.218 4.218 0.000 4.218 4.218 4.218 0.000" Properties=species:S:1:pos:R:3 pbc="T T T"
Sr 0.000 0.000 0.000
Mg 3.174 3.174 3.174
Mg 5.262 5.262 3.174
Mg 5.262 3.174 5.262
Mg 3.174 5.262 5.262
Au 6.327 6.327 6.327
```

Values from the calculation:
The total DFT energy (no corrections) comes out at -1.93 eV per atom. Its distance to the lowest polymorph of the same formula is 286 meV/atom. Its space group is F-43m, No. 216.

(14)
Here is a relaxed Sr12MgAu5 crystal from Alexandria via LeMat-Bulk. Energies are from PBE-GGA.

```
18
Lattice="-5.202 5.500 5.962 5.202 -5.500 5.962 5.202 5.500 -5.962" Properties=species:S:1:pos:R:3 pbc="T T T"
Sr 5.202 3.438 -3.207
Sr 2.948 1.927 0.000
Sr 7.457 1.927 0.000
Sr 1.939 5.500 -1.957
Sr 3.263 0.000 4.005
Sr 0.000 2.062 2.755
Sr 5.202 3.438 3.207
Sr 1.939 5.500 1.957
Sr 3.263 0.000 7.918
Sr -2.255 3.573 5.962
Sr 2.255 3.573 5.962
Sr 0.000 2.062 9.169
Mg 0.000 0.000 5.962
Au 0.000 0.000 0.000
Au 5.202 0.000 1.510
Au 0.000 3.678 0.000
Au 0.000 7.322 0.000
Au 0.000 5.500 4.452
```

Values from the calculation:
The total DFT energy (no corrections) comes out at -2.58 eV per atom. Its space group is Immm, No. 71.

(15)
Here is a relaxed SrMg2Au crystal from Alexandria via LeMat-Bulk. Energies are from PBE-GGA.

```
4
Lattice="4.359 0.000 0.000 0.000 4.677 0.000 0.000 0.000 5.185" Properties=species:S:1:pos:R:3 pbc="T T T"
Sr 0.000 0.000 0.000
Mg 0.000 2.339 2.593
Mg 2.179 0.000 2.593
Au 2.179 2.339 0.000
```

Values from the calculation:
The total DFT energy (no corrections) comes out at -2.28 eV per atom. Its space group is Pmmm, No. 47.

(16)
Here is a relaxed Sr2TbMgAu6 crystal from Alexandria via LeMat-Bulk. Energies are from PBE-GGA.

```
10
Lattice="5.733 0.000 0.000 -1.006 5.717 0.000 -1.936 -2.628 7.599" Properties=species:S:1:pos:R:3 pbc="T T T"
Sr -0.543 1.205 1.581
Sr 3.334 1.884 6.018
Tb 1.899 -1.314 3.800
Mg 2.363 2.858 0.000
Au -1.099 -0.874 5.193
Au 0.528 1.382 4.877
Au 1.181 5.069 1.045
Au 1.610 -1.980 6.554
Au 2.263 1.707 2.722
Au 3.890 3.963 2.406
```

Values from the calculation:
The total DFT energy (no corrections) comes out at -3.56 eV per atom. Its space group is P-1, No. 2.

(17)
Here is a relaxed Sr2MgTlAu crystal from Alexandria via LeMat-Bulk. Energies are from PBE-GGA.

```
5
Lattice="6.050 0.000 0.000 0.000 6.050 0.000 0.000 0.000 5.109" Properties=species:S:1:pos:R:3 pbc="T T T"
Sr 0.000 3.025 0.000
Sr 3.025 0.000 0.000
Mg 0.000 0.000 2.554
Tl 3.025 3.025 2.554
Au 0.000 0.000 0.000
```

Values from the calculation:
The total DFT energy (no corrections) comes out at -2.44 eV per atom. Its space group is P4/mmm, No. 123.

(18)
Here is a relaxed SrTmMg2Au4 crystal from Alexandria via LeMat-Bulk. Energies are from PBE-GGA.

```
8
Lattice="2.373 1.370 9.350 -2.373 1.370 9.350 0.000 -2.740 9.350" Properties=species:S:1:pos:R:3 pbc="T T T"
Sr 0.000 0.000 0.000
Tm 0.000 0.000 14.026
Mg 0.000 0.000 6.771
Mg 0.000 0.000 21.281
Au 0.000 0.000 3.427
Au 0.000 0.000 11.142
Au 0.000 0.000 16.909
Au 0.000 0.000 24.625
```

Values from the calculation:
The total DFT energy (no corrections) comes out at -3.51 eV per atom. Its space group is R-3m, No. 166.

(19)
Here is a relaxed SrMgZnAu3 crystal from Alexandria via LeMat-Bulk. Energies are from PBE-GGA.

```
12
Lattice="3.244 -6.264 0.000 3.244 6.264 0.000 0.000 0.000 7.059" Properties=species:S:1:pos:R:3 pbc="T T T"
Sr 3.244 3.788 5.294
Sr 3.244 -3.788 1.765
Mg 3.244 4.756 1.765
Mg 3.244 -4.756 5.294
Zn 3.244 0.566 5.294
Zn 3.244 -0.566 1.765
Au 1.441 0.000 0.000
Au 1.441 0.000 3.530
Au 3.244 2.129 1.765
Au 3.244 -2.129 5.294
Au 5.048 0.000 0.000
Au 5.048 0.000 3.530
```

Values from the calculation:
The total DFT energy (no corrections) comes out at -2.80 eV per atom. Its space group is Cmcm, No. 63.

(20)
Here is a relaxed Sr2MgZn3Au4 crystal from Alexandria via LeMat-Bulk. Energies are from PBE-GGA.

```
10
Lattice="4.605 0.000 0.000 0.000 4.605 0.000 0.000 0.000 10.665" Properties=species:S:1:pos:R:3 pbc="T T T"
Sr 0.000 2.302 2.515
Sr 2.302 0.000 8.150
Mg 0.000 0.000 5.332
Zn 0.000 2.302 9.371
Zn 2.302 0.000 1.294
Zn 2.302 2.302 5.332
Au 0.000 0.000 0.000
Au 0.000 2.302 6.785
Au 2.302 0.000 3.880
Au 2.302 2.302 0.000
```

Values from the calculation:
The total DFT energy (no corrections) comes out at -2.73 eV per atom. Its space group is P-4m2, No. 115.